1.
VASP calculation (GGA-PBE) on crystalline Pr2Tl3CdSe6 at its relaxed geometry.

abc: 7.439 7.439 7.933
angles: 99.09 99.09 120.10
Atoms (fractional coordinates):
Pr (0.166, 0.834, 0.000)
Pr (0.834, 0.166, 0.000)
Tl (0.000, 0.000, 0.500)
Tl (0.330, 0.670, 0.500)
Tl (0.670, 0.330, 0.500)
Cd (0.500, 0.500, 0.000)
Se (0.101, 0.428, 0.783)
Se (0.247, 0.247, 0.220)
Se (0.428, 0.101, 0.783)
Se (0.572, 0.899, 0.217)
Se (0.753, 0.753, 0.780)
Se (0.899, 0.572, 0.217)

Uncorrected formation energy ... -1154 kJ/mol of formula units
Final energy ... -4.203 eV per atom
ρ ... 6826 kg/m³


2.
VASP calculation (GGA-PBE) on crystalline PrCdSi at its relaxed geometry.

abc: 4.356 17.077 3.923
angles: 90.00 90.00 90.00
Atoms (fractional coordinates):
Pr (0.000, 0.094, 0.250)
Pr (0.000, 0.906, 0.750)
Pr (0.500, 0.406, 0.750)
Pr (0.500, 0.594, 0.250)
Cd (0.000, 0.288, 0.250)
Cd (0.000, 0.712, 0.750)
Cd (0.500, 0.212, 0.750)
Cd (0.500, 0.788, 0.250)
Si (0.000, 0.458, 0.250)
Si (0.000, 0.542, 0.750)
Si (0.500, 0.042, 0.750)
Si (0.500, 0.958, 0.250)

Uncorrected formation energy ... -142 kJ/mol of formula units
Final energy ... -4.195 eV per atom
ρ ... 6404 kg/m³


3.
VASP calculation (GGA-PBE) on crystalline Pr4CdSi at its relaxed geometry.

abc: 10.141 10.141 10.141
angles: 60.00 60.00 60.00
Atoms (fractional coordinates):
Pr (0.187, 0.187, 0.813)
Pr (0.187, 0.813, 0.187)
Pr (0.187, 0.813, 0.813)
Pr (0.393, 0.393, 0.393)
Pr (0.393, 0.393, 0.820)
Pr (0.393, 0.820, 0.393)
Pr (0.561, 0.561, 0.939)
Pr (0.561, 0.939, 0.561)
Pr (0.561, 0.939, 0.939)
Pr (0.813, 0.187, 0.187)
Pr (0.813, 0.187, 0.813)
Pr (0.813, 0.813, 0.187)
Pr (0.820, 0.393, 0.393)
Pr (0.939, 0.561, 0.561)
Pr (0.939, 0.561, 0.939)
Pr (0.939, 0.939, 0.561)
Cd (0.170, 0.170, 0.170)
Cd (0.170, 0.170, 0.490)
Cd (0.170, 0.490, 0.170)
Cd (0.490, 0.170, 0.170)
Si (0.185, 0.605, 0.605)
Si (0.605, 0.185, 0.605)
Si (0.605, 0.605, 0.185)
Si (0.605, 0.605, 0.605)

Uncorrected formation energy ... -182 kJ/mol of formula units
Final energy ... -4.558 eV per atom
ρ ... 6342 kg/m³


4.
VASP calculation (GGA-PBE) on crystalline Pr4CdSi2 at its relaxed geometry.

abc: 9.572 9.572 9.572
angles: 31.09 31.09 31.09
Atoms (fractional coordinates):
Pr (0.117, 0.117, 0.117)
Pr (0.293, 0.293, 0.293)
Pr (0.707, 0.707, 0.707)
Pr (0.883, 0.883, 0.883)
Cd (0.500, 0.500, 0.500)
Si (0.404, 0.404, 0.404)
Si (0.596, 0.596, 0.596)

Uncorrected formation energy ... -206 kJ/mol of formula units
Final energy ... -4.717 eV per atom
ρ ... 5862 kg/m³


5.
VASP calculation (GGA-PBE) on crystalline PrCdSi at its relaxed geometry.

abc: 4.438 4.438 4.294
angles: 90.00 90.00 120.00
Atoms (fractional coordinates):
Pr (0.000, 0.000, 0.000)
Cd (0.667, 0.333, 0.499)
Si (0.333, 0.667, 0.502)

Uncorrected formation energy ... -128 kJ/mol of formula units
Final energy ... -4.147 eV per atom
ρ ... 6380 kg/m³


6.
VASP calculation (GGA-PBE) on crystalline PrYCdSi at its relaxed geometry.

abc: 7.373 7.373 7.373
angles: 90.00 90.00 90.00
Atoms (fractional coordinates):
Pr (0.000, 0.000, 0.000)
Pr (0.000, 0.500, 0.500)
Pr (0.500, 0.000, 0.500)
Pr (0.500, 0.500, 0.000)
Y (0.000, 0.000, 0.500)
Y (0.000, 0.500, 0.000)
Y (0.500, 0.000, 0.000)
Y (0.500, 0.500, 0.500)
Cd (0.250, 0.250, 0.250)
Cd (0.250, 0.750, 0.750)
Cd (0.750, 0.250, 0.750)
Cd (0.750, 0.750, 0.250)
Si (0.250, 0.250, 0.750)
Si (0.250, 0.750, 0.250)
Si (0.750, 0.250, 0.250)
Si (0.750, 0.750, 0.750)

Uncorrected formation energy ... -151 kJ/mol of formula units
Final energy ... -4.786 eV per atom
ρ ... 6136 kg/m³


7.
VASP calculation (GGA-PBE) on crystalline Pr12Sm5Cd2 at its relaxed geometry.

abc: 9.223 9.223 8.727
angles: 93.02 93.02 61.21
Atoms (fractional coordinates):
Pr (0.058, 0.058, 0.330)
Pr (0.068, 0.679, 0.322)
Pr (0.169, 0.539, 0.764)
Pr (0.321, 0.932, 0.678)
Pr (0.421, 0.421, 0.118)
Pr (0.461, 0.831, 0.236)
Pr (0.539, 0.169, 0.764)
Pr (0.579, 0.579, 0.882)
Pr (0.679, 0.068, 0.322)
Pr (0.831, 0.461, 0.236)
Pr (0.932, 0.321, 0.678)
Pr (0.942, 0.942, 0.670)
Sm (0.197, 0.197, 0.022)
Sm (0.268, 0.268, 0.426)
Sm (0.500, 0.500, 0.500)
Sm (0.732, 0.732, 0.574)
Sm (0.803, 0.803, 0.978)
Cd (0.168, 0.832, 0.000)
Cd (0.832, 0.168, 0.000)

Final energy ... -4.327 eV per atom
DFT formation energy ... 0.03 eV per atom
ρ ... 6821 kg/m³


8.
VASP calculation (GGA-PBE) on crystalline Pr2Sm3Cd2 at its relaxed geometry.

abc: 8.794 8.794 8.794
angles: 36.78 36.78 36.78
Atoms (fractional coordinates):
Pr (0.075, 0.075, 0.075)
Pr (0.925, 0.925, 0.925)
Sm (0.343, 0.343, 0.343)
Sm (0.500, 0.500, 0.500)
Sm (0.657, 0.657, 0.657)
Cd (0.212, 0.212, 0.212)
Cd (0.788, 0.788, 0.788)

Final energy ... -3.800 eV per atom
DFT formation energy ... -0.15 eV per atom
ρ ... 7281 kg/m³


9.
VASP calculation (GGA-PBE) on crystalline PrSm8Cd6 at its relaxed geometry.

abc: 8.369 8.369 8.369
angles: 66.42 66.42 66.42
Atoms (fractional coordinates):
Pr (0.000, 0.000, 0.000)
Sm (0.119, 0.786, 0.448)
Sm (0.214, 0.552, 0.881)
Sm (0.333, 0.333, 0.333)
Sm (0.448, 0.119, 0.786)
Sm (0.552, 0.881, 0.214)
Sm (0.667, 0.667, 0.667)
Sm (0.786, 0.448, 0.119)
Sm (0.881, 0.214, 0.552)
Cd (0.051, 0.388, 0.713)
Cd (0.287, 0.949, 0.612)
Cd (0.388, 0.713, 0.051)
Cd (0.612, 0.287, 0.949)
Cd (0.713, 0.051, 0.388)
Cd (0.949, 0.612, 0.287)

Final energy ... -3.284 eV per atom
DFT formation energy ... -0.08 eV per atom
ρ ... 7104 kg/m³


10.
VASP calculation (GGA-PBE) on crystalline Pr2Sm3Cd at its relaxed geometry.

abc: 3.455 17.688 6.658
angles: 90.00 90.00 90.00
Atoms (fractional coordinates):
Pr (0.000, 0.191, 0.000)
Pr (0.000, 0.809, 0.000)
Pr (0.500, 0.309, 0.500)
Pr (0.500, 0.691, 0.500)
Sm (0.000, 0.133, 0.497)
Sm (0.000, 0.500, 0.693)
Sm (0.000, 0.867, 0.497)
Sm (0.500, 0.000, 0.193)
Sm (0.500, 0.367, 0.997)
Sm (0.500, 0.633, 0.997)
Cd (0.000, 0.000, 0.792)
Cd (0.500, 0.500, 0.292)

Final energy ... -3.967 eV per atom
DFT formation energy ... 0.14 eV per atom
ρ ... 6900 kg/m³


11.
VASP calculation (GGA-PBE) on crystalline Pr4SmCd5 at its relaxed geometry.

abc: 3.870 3.870 19.356
angles: 90.00 90.00 90.00
Atoms (fractional coordinates):
Pr (0.000, 0.000, 0.101)
Pr (0.000, 0.000, 0.303)
Pr (0.000, 0.000, 0.697)
Pr (0.000, 0.000, 0.899)
Sm (0.000, 0.000, 0.500)
Cd (0.500, 0.500, 0.000)
Cd (0.500, 0.500, 0.202)
Cd (0.500, 0.500, 0.405)
Cd (0.500, 0.500, 0.595)
Cd (0.500, 0.500, 0.798)

Final energy ... -3.158 eV per atom
DFT formation energy ... -0.32 eV per atom
ρ ... 7310 kg/m³


12.
VASP calculation (GGA-PBE) on crystalline PrSmCd4 at its relaxed geometry.

abc: 5.999 5.999 5.999
angles: 60.00 60.00 60.00
Atoms (fractional coordinates):
Pr (0.000, 0.000, 0.000)
Sm (0.750, 0.750, 0.750)
Cd (0.375, 0.375, 0.375)
Cd (0.375, 0.375, 0.875)
Cd (0.375, 0.875, 0.375)
Cd (0.875, 0.375, 0.375)

Final energy ... -2.493 eV per atom
DFT formation energy ... -0.30 eV per atom
ρ ... 8061 kg/m³


Among the records above, which one has the highest final energy? PrSmCd4


Which of these has the lowest final energy? PrYCdSi


Which of these has the lowest ρ? Pr4CdSi2